# Ca2SmBi GGA-PBE relaxed
data_Ca2SmBi
_space_group_name_H-M_alt 'P 4/m m m'
_space_group_IT_number 123
_space_group_name_Hall '-P 4 2'
_cell_length_a 4.957
_cell_length_b 4.957
_cell_length_c 5.256
_cell_angle_alpha 90.00
_cell_angle_beta 90.00
_cell_angle_gamma 90.00
loop_
_atom_site_label
_atom_site_type_symbol
_atom_site_fract_x
_atom_site_fract_y
_atom_site_fract_z
Ca1 Ca 0.000 0.500 0.000
Sm1 Sm 0.000 0.000 0.500
Bi1 Bi 0.500 0.500 0.500
# Final energy: -3.511 eV/atom
# Magnetic moment: 0.0 μB/f.u.
# Formation energy from the elements: -0.360 eV per atom
# Crystal system: tetragonal
# ΔE to the lowest computed polymorph: 0.0 meV per atom


# CsTaBr2 GGA-PBE relaxed
data_CsTaBr2
_space_group_name_H-M_alt 'F m -3 m'
_space_group_IT_number 225
_space_group_name_Hall '-F 4 2 3'
_cell_length_a 8.025
_cell_length_b 8.025
_cell_length_c 8.025
_cell_angle_alpha 90.00
_cell_angle_beta 90.00
_cell_angle_gamma 90.00
loop_
_atom_site_label
_atom_site_type_symbol
_atom_site_fract_x
_atom_site_fract_y
_atom_site_fract_z
Cs1 Cs 0.000 0.000 0.000
Ta1 Ta 0.000 0.000 0.500
Br1 Br 0.250 0.250 0.250
# Final energy: -3.571 eV/atom
# Magnetic moment: 4.0 μB/f.u.
# Formation energy from raw total energies: 0.442 eV/atom
# Crystal system: cubic